Here is a geometry-optimized LiPm2CuPt2 structure from Alexandria. Energies are from GGA-PBE.

a = 5.7903 Å, b = 14.4832 Å, c = 5.8641 Å
α = 90.00°, β = 90.00°, γ = 90.00°
Space group Ibam (No. 72)
One atom of each set of equivalent atoms:
Li (0.0000, 0.0000, 0.2500)
Pm (0.2472, 0.3331, 0.0000)
Cu (0.0000, 0.5000, 0.2500)
Pt (0.2487, 0.1224, 0.0000)

Calculated values
The density of states at the Fermi level comes out at 11.0 states/eV/cell. The calculation puts the formation energy at -4.77 eV/f.u.